(1)
Density functional theory data (PBE) for a relaxed structure of CdRe3.

```
CdRe3
1.0
2.8120 0.0000 0.0000
-1.4060 2.4352 0.0000
0.0000 0.0000 9.4169
Cd Re
1 3
direct
0.0000 0.0000 0.0000
0.3333 0.6667 0.2692
0.0000 0.0000 0.5000
0.3333 0.6667 0.7308
```

Computed properties:
ΔH_f (0 K)   0.27 eV per atom
E above lowest polymorph   0.0 meV/atom
Density of states at the Fermi level   4.2 states/eV/cell
Space group   No. 187

***

(2)
Density functional theory data (PBE) for a relaxed structure of CdRe2.

```
CdRe2
1.0
-1.1718 4.1216 -6.1063
0.9203 -6.1467 4.1254
-4.6027 -0.1762 0.7644
Re Cd
4 2
direct
0.9401 0.0599 0.7500
0.7159 0.2841 0.2500
0.2841 0.7159 0.7500
0.0599 0.9401 0.2500
0.3898 0.6102 0.2500
0.6102 0.3898 0.7500
```

Computed properties:
ΔH_f (0 K)   0.57 eV per atom
E above lowest polymorph   307.2 meV/atom
Density of states at the Fermi level   5.1 states/eV/cell
Space group   No. 63

***

(3)
Density functional theory data (PBE) for a relaxed structure of CdRe.

```
CdRe
1.0
-0.1530 0.7483 2.8910
1.4621 -2.5054 0.7259
7.0805 3.9449 -0.6463
Re Cd
2 2
direct
0.7500 0.7500 0.4106
0.2500 0.2500 0.5894
0.7500 0.7500 0.8536
0.2500 0.2500 0.1464
```

Computed properties:
ΔH_f (0 K)   0.24 eV per atom
E above lowest polymorph   12.7 meV/atom
Density of states at the Fermi level   1.6 states/eV/cell
Space group   No. 129

***

(4)
Density functional theory data (PBE) for a relaxed structure of Cd3Re.

```
Cd3Re
1.0
5.3890 0.0000 0.0000
0.0000 5.3890 0.0000
0.0000 0.0000 5.3890
Cd Re
3 1
direct
0.5000 0.0000 0.0000
0.0000 0.5000 0.0000
0.0000 0.0000 0.5000
0.0000 0.0000 0.0000
```

Computed properties:
ΔH_f (0 K)   1.22 eV per atom
E above lowest polymorph   831.2 meV/atom
Density of states at the Fermi level   3.4 states/eV/cell
Space group   No. 221

***

- The highest ΔH_f (0 K) belongs to which entry?
  Cd3Re

***

- Which of these has the highest density of states at the Fermi level?
  CdRe2

***

- Which of these has the highest density of states at the Fermi level?
  CdRe2